Record 1
This record from the Alexandria database describes In3GaBr after structural relaxation. The functional is PBE-GGA.

Cell lengths 5.496, 5.496, 5.496 Å; angles 90.00, 90.00, 90.00 degrees
Space group Pm-3m (No. 221)
Unique sites:
In1 0.000 0.000 0.500 [3 per cell]
Ga1 0.000 0.000 0.000 [1 per cell]
Br1 0.500 0.500 0.500 [1 per cell]

Output
DOS(E_F) = 0.440 states/eV/atom
Electronic total energy = -2.5866 eV/atom

Record 2
This record from the Alexandria database describes InGaBr3 after structural relaxation. The functional is PBE-GGA.

Cell lengths 5.660, 5.660, 5.660 Å; angles 90.00, 90.00, 90.00 degrees
Space group Pm-3m (No. 221)
Unique sites:
In1 0.000 0.000 0.000 [1 per cell]
Ga1 0.500 0.500 0.500 [1 per cell]
Br1 0.000 0.000 0.500 [3 per cell]

Output
DOS(E_F) = 0.201 states/eV/atom
Electronic total energy = -2.6715 eV/atom

Record 3
This record from the Alexandria database describes InGa6Br12 after structural relaxation. The functional is PBE-GGA.

Cell lengths 7.730, 8.840, 10.806 Å; angles 95.32, 105.33, 92.74 degrees
Space group P-1 (No. 2)
Unique sites:
In1 0.000 0.000 0.000 [1 per cell]
Ga1 0.141 0.911 0.232 [2 per cell]
Ga2 0.342 0.817 0.767 [2 per cell]
Ga3 0.345 0.108 0.785 [2 per cell]
Br1 0.073 0.268 0.702 [2 per cell]
Br2 0.114 0.726 0.869 [2 per cell]
Br3 0.256 0.089 0.412 [2 per cell]
Br4 0.347 0.626 0.605 [2 per cell]
Br5 0.366 0.186 0.030 [2 per cell]
Br6 0.388 0.729 0.239 [2 per cell]

Output
DOS(E_F) = 0.220 states/eV/atom
Electronic total energy = -2.8106 eV/atom

Record 4
This record from the Alexandria database describes InGa3Br after structural relaxation. The functional is PBE-GGA.

Cell lengths 5.555, 5.555, 5.555 Å; angles 90.00, 90.00, 90.00 degrees
Space group Pm-3m (No. 221)
Unique sites:
In1 0.000 0.000 0.000 [1 per cell]
Ga1 0.000 0.500 0.500 [3 per cell]
Br1 0.500 0.500 0.500 [1 per cell]

Output
DOS(E_F) = 0.736 states/eV/atom
Electronic total energy = -2.2989 eV/atom

Record 5
This record from the Alexandria database describes InGaBr after structural relaxation. The functional is PBE-GGA.

Cell lengths 4.075, 4.104, 6.208 Å; angles 70.72, 75.68, 89.97 degrees
Space group P1 (No. 1)
Unique sites:
In1 0.000 0.000 0.000 [1 per cell]
Ga1 0.473 0.462 0.075 [1 per cell]
Br1 0.425 0.242 0.524 [1 per cell]

Output
DOS(E_F) = 0.426 states/eV/atom
Electronic total energy = -2.7503 eV/atom

Record 6
This record from the Alexandria database describes InGa2IrBr after structural relaxation. The functional is PBE-GGA.

Cell lengths 4.856, 4.856, 5.304 Å; angles 90.00, 90.00, 90.00 degrees
Space group P4/mmm (No. 123)
Unique sites:
In1 0.000 0.000 0.000 [1 per cell]
Ga1 0.000 0.500 0.500 [2 per cell]
Ir1 0.000 0.000 0.500 [1 per cell]
Br1 0.500 0.500 0.000 [1 per cell]

Output
DOS(E_F) = 0.113 states/eV/atom
Electronic total energy = -4.3190 eV/atom

Record 7
This record from the Alexandria database describes KIn2GaBr4 after structural relaxation. The functional is PBE-GGA.

Cell lengths 8.057, 4.662, 8.116 Å; angles 90.00, 109.25, 90.00 degrees
Space group P2/m (No. 10)
Unique sites:
K1 0.000 0.000 0.000 [1 per cell]
In1 0.000 0.500 0.500 [1 per cell]
In2 0.500 0.000 0.500 [1 per cell]
Ga1 0.500 0.500 0.000 [1 per cell]
Br1 0.253 0.500 0.242 [2 per cell]
Br2 0.259 0.000 0.762 [2 per cell]

Output
DOS(E_F) = 0.000 states/eV/atom
Electronic total energy = -2.9231 eV/atom

Record 8
This record from the Alexandria database describes KInGa2Br8 after structural relaxation. The functional is PBE-GGA.

Cell lengths 7.0335, 7.0335, 11.0600 Å; angles 90.00, 90.00, 120.00 degrees
Space group P-3 (No. 147)
Unique sites:
K1 0.0000 0.0000 0.0000 [1 per cell]
In1 0.0000 0.0000 0.5000 [1 per cell]
Ga1 0.3333 0.6667 0.7806 [2 per cell]
Br1 0.0164 0.3434 0.7134 [6 per cell]
Br2 0.3333 0.6667 0.9935 [2 per cell]

Output
DOS(E_F) = 0.000 states/eV/atom
Electronic total energy = -2.9195 eV/atom

Record 9
This record from the Alexandria database describes K2In3GaBr6 after structural relaxation. The functional is PBE-GGA.

Cell lengths 20.481, 4.685, 9.397 Å; angles 90.00, 103.38, 90.00 degrees
Space group C2/m (No. 12)
Unique sites:
K1 0.165 0.000 0.329 [4 per cell]
In1 0.000 0.500 0.500 [2 per cell]
In2 0.166 0.000 0.834 [4 per cell]
Ga1 0.000 0.500 0.000 [2 per cell]
Br1 0.001 0.000 0.761 [4 per cell]
Br2 0.159 0.500 0.079 [4 per cell]
Br3 0.166 0.500 0.578 [4 per cell]

Output
DOS(E_F) = 0.000 states/eV/atom
Electronic total energy = -2.9457 eV/atom

Record 10
This record from the Alexandria database describes LiIn2GaBr4 after structural relaxation. The functional is PBE-GGA.

Cell lengths 8.839, 9.075, 12.624 Å; angles 90.00, 90.00, 90.00 degrees
Space group Imma (No. 74)
Unique sites:
Li1 0.250 0.250 0.250 [4 per cell]
In1 0.000 0.000 0.000 [4 per cell]
In2 0.250 0.250 0.750 [4 per cell]
Ga1 0.000 0.000 0.500 [4 per cell]
Br1 0.000 0.032 0.255 [8 per cell]
Br2 0.239 0.250 0.478 [8 per cell]

Output
Electronic total energy = -2.9379 eV/atom

Record 11
This record from the Alexandria database describes LiInGa2Br8 after structural relaxation. The functional is PBE-GGA.

Cell lengths 6.8239, 6.8239, 9.7031 Å; angles 90.00, 90.00, 120.00 degrees
Space group P-3 (No. 147)
Unique sites:
Li1 0.0000 0.0000 0.0000 [1 per cell]
In1 0.0000 0.0000 0.5000 [1 per cell]
Ga1 0.3333 0.6667 0.2479 [2 per cell]
Br1 0.0101 0.3257 0.1775 [6 per cell]
Br2 0.3333 0.6667 0.4918 [2 per cell]

Output
DOS(E_F) = 0.000 states/eV/atom
Electronic total energy = -2.9242 eV/atom

Record 12
This record from the Alexandria database describes MnInGaBr2 after structural relaxation. The functional is PBE-GGA.

Cell lengths 5.103, 5.103, 5.631 Å; angles 90.00, 90.00, 90.00 degrees
Space group P4/mmm (No. 123)
Unique sites:
Mn1 0.000 0.000 0.000 [1 per cell]
In1 0.000 0.000 0.500 [1 per cell]
Ga1 0.500 0.500 0.500 [1 per cell]
Br1 0.000 0.500 0.000 [2 per cell]

Output
DOS(E_F) = 0.599 states/eV/atom
Electronic total energy = -3.6869 eV/atom

Record 13
This record from the Alexandria database describes MnInGaBr4 after structural relaxation. The functional is PBE-GGA.

Cell lengths 7.405, 7.726, 8.927 Å; angles 90.00, 107.69, 90.00 degrees
Space group P2_1/m (No. 11)
Unique sites:
Mn1 0.234 0.250 0.310 [2 per cell]
In1 0.238 0.750 0.059 [2 per cell]
Ga1 0.229 0.750 0.547 [2 per cell]
Br1 0.013 0.503 0.253 [4 per cell]
Br2 0.444 0.250 0.139 [2 per cell]
Br3 0.447 0.250 0.586 [2 per cell]

Output
DOS(E_F) = 0.000 states/eV/atom
Electronic total energy = -3.7563 eV/atom

Record 14
This record from the Alexandria database describes InGaBrN2 after structural relaxation. The functional is PBE-GGA.

Cell lengths 4.097, 4.097, 5.659 Å; angles 90.00, 90.00, 90.00 degrees
Space group P4/mmm (No. 123)
Unique sites:
In1 0.000 0.000 0.000 [1 per cell]
Ga1 0.500 0.500 0.500 [1 per cell]
Br1 0.500 0.500 0.000 [1 per cell]
N1 0.000 0.500 0.500 [2 per cell]

Output
DOS(E_F) = 0.438 states/eV/atom
Electronic total energy = -3.8050 eV/atom

Record 15
This record from the Alexandria database describes NaInGaBr3 after structural relaxation. The functional is PBE-GGA.

Cell lengths 7.518, 15.572, 7.292 Å; angles 90.00, 108.45, 90.00 degrees
Space group C2/c (No. 15)
Unique sites:
Na1 0.000 0.061 0.250 [4 per cell]
In1 0.000 0.240 0.750 [4 per cell]
Ga1 0.000 0.435 0.250 [4 per cell]
Br1 0.000 0.246 0.250 [4 per cell]
Br2 0.234 0.073 0.995 [8 per cell]

Output
DOS(E_F) = 0.000 states/eV/atom
Electronic total energy = -2.8706 eV/atom

Record 16
This record from the Alexandria database describes NaInGa2Br8 after structural relaxation. The functional is PBE-GGA.

Cell lengths 6.9044, 6.9044, 10.1903 Å; angles 90.00, 90.00, 120.00 degrees
Space group P-3 (No. 147)
Unique sites:
Na1 0.0000 0.0000 0.0000 [1 per cell]
In1 0.0000 0.0000 0.5000 [1 per cell]
Ga1 0.3333 0.6667 0.2612 [2 per cell]
Br1 0.0094 0.3357 0.1930 [6 per cell]
Br2 0.3333 0.6667 0.4934 [2 per cell]

Output
DOS(E_F) = 0.000 states/eV/atom
Electronic total energy = -2.8883 eV/atom

Record 17
This record from the Alexandria database describes NaIn2GaBr4 after structural relaxation. The functional is PBE-GGA.

Cell lengths 7.834, 4.509, 7.979 Å; angles 90.00, 108.97, 90.00 degrees
Space group P2/m (No. 10)
Unique sites:
Na1 0.000 0.000 0.000 [1 per cell]
In1 0.000 0.500 0.500 [1 per cell]
In2 0.500 0.000 0.500 [1 per cell]
Ga1 0.500 0.500 0.000 [1 per cell]
Br1 0.235 0.500 0.224 [2 per cell]
Br2 0.250 0.000 0.772 [2 per cell]

Output
DOS(E_F) = 0.000 states/eV/atom
Electronic total energy = -2.9002 eV/atom

Record 18
This record from the Alexandria database describes NaInGa2Br4 after structural relaxation. The functional is PBE-GGA.

Cell lengths 7.764, 4.482, 7.834 Å; angles 90.00, 109.29, 90.00 degrees
Space group P2/m (No. 10)
Unique sites:
Na1 0.000 0.000 0.000 [1 per cell]
In1 0.000 0.500 0.500 [1 per cell]
Ga1 0.500 0.000 0.500 [1 per cell]
Ga2 0.500 0.500 0.000 [1 per cell]
Br1 0.246 0.500 0.236 [2 per cell]
Br2 0.255 0.000 0.767 [2 per cell]

Output
Electronic total energy = -2.9018 eV/atom

Record 19
This record from the Alexandria database describes Na2InGaBr6 after structural relaxation. The functional is PBE-GGA.

Cell lengths 7.4206, 7.4206, 20.1655 Å; angles 90.00, 90.00, 120.00 degrees
Space group R3 (No. 146, hexagonal axes)
Unique sites:
Na1 0.0000 0.0000 0.0000 [3 per cell]
Na2 0.0000 0.0000 0.4881 [3 per cell]
In1 0.0000 0.0000 0.6835 [3 per cell]
Ga1 0.0000 0.0000 0.1953 [3 per cell]
Br1 0.9997 0.7077 0.5985 [9 per cell]
Br2 0.0148 0.3726 0.4232 [9 per cell]

Output
DOS(E_F) = 0.000 states/eV/atom
Electronic total energy = -2.8918 eV/atom

Record 20
This record from the Alexandria database describes InGa2NiBr after structural relaxation. The functional is PBE-GGA.

Cell lengths 4.676, 4.676, 5.111 Å; angles 90.00, 90.00, 90.00 degrees
Space group P4/mmm (No. 123)
Unique sites:
In1 0.000 0.000 0.000 [1 per cell]
Ga1 0.000 0.500 0.500 [2 per cell]
Ni1 0.000 0.000 0.500 [1 per cell]
Br1 0.500 0.500 0.000 [1 per cell]

Output
DOS(E_F) = 0.198 states/eV/atom
Electronic total energy = -3.5857 eV/atom